1.
{"formula": "CoRe2P", "functional": "GGA-PBE", "state": "optimized geometry", "ef_ev_per_atom": 0.1964, "crystal_system": "tetragonal", "dft_energy_ev_per_atom": -9.157, "magnetic_moment_mub_per_cell": 0.005, "lattice": [[-4.1976, -1.8964, -0.2252], [0.2603, -4.4105, -1.3216], [2.1680, 2.4152, 3.2763]], "species": ["P", "Re", "Re", "Co"], "fractional_positions": [[0.7500, 0.2500, 0.5000], [0.0000, 0.0000, 0.0000], [0.2500, 0.7500, 0.5000], [0.5000, 0.5000, 0.0000]]}


2.
{"formula": "CoRe2P", "functional": "GGA-PBE", "state": "optimized geometry", "ef_ev_per_atom": 0.0150, "crystal_system": "tetragonal", "dft_energy_ev_per_atom": -9.338, "magnetic_moment_mub_per_cell": 1.040, "lattice": [[2.8848, 0.0000, 0.0000], [0.0000, 2.8848, 0.0000], [0.0000, 0.0000, 6.1940]], "species": ["Co", "Re", "Re", "P"], "fractional_positions": [[0.5000, 0.5000, 0.2500], [0.0000, 0.0000, 0.9838], [0.0000, 0.0000, 0.5162], [0.5000, 0.5000, 0.7500]]}


3.
{"formula": "CoRe2P", "functional": "GGA-PBE", "state": "optimized geometry", "ef_ev_per_atom": 0.1782, "crystal_system": "monoclinic", "dft_energy_ev_per_atom": -9.175, "magnetic_moment_mub_per_cell": 0.398, "lattice": [[-0.3513, -0.0968, 4.6618], [0.7707, -2.5690, 3.8303], [4.0068, 1.6038, 0.6382]], "species": ["Re", "Re", "Co", "P"], "fractional_positions": [[0.4701, 0.4701, 0.5146], [0.0299, 0.0299, 0.9854], [0.7500, 0.7500, 0.7500], [0.2500, 0.2500, 0.2500]]}